Record 1
Crystalline Na2CeF6 at its relaxed geometry. Source: Alexandria via LeMat-Bulk, functional GGA-PBEsol.

Structure (POSCAR):
```
Na2CeF6
1.0
5.935 0.000 0.000
-2.967 5.140 0.000
0.000 0.000 3.685
Na Ce F
2 1 6
direct
0.333 0.667 0.061
0.667 0.333 0.939
0.000 0.000 0.500
0.000 0.370 0.500
0.000 0.749 0.000
0.251 0.251 0.000
0.370 0.000 0.500
0.630 0.630 0.500
0.749 0.000 0.000
```

Computed properties:
The value obtained for the formation energy without anion corrections is -2899 kJ/mol of formula units. The total energy is -5.668 eV per atom. The calculated density is 4.43 g cm⁻³. The calculation puts the total moment at 0.001 μB/cell.

=====

Record 2
Crystalline GaHg3C at its relaxed geometry. Source: Alexandria via LeMat-Bulk, functional GGA-PBEsol.

Structure (POSCAR):
```
GaHg3C
1.0
4.683 0.000 0.000
0.000 4.683 0.000
0.000 0.000 4.683
Ga Hg C
1 3 1
direct
0.000 0.000 0.000
0.000 0.500 0.500
0.500 0.000 0.500
0.500 0.500 0.000
0.500 0.500 0.500
```

Computed properties:
For the calculated formation energy, the calculation gives 951 meV per atom. The total energy is -1.986 eV per atom. The calculated density is 11.05 g cm⁻³. The calculation puts the total moment at 0.000 μB/cell.

=====

Record 3
Crystalline Ta2HgSe at its relaxed geometry. Source: Alexandria via LeMat-Bulk, functional GGA-PBEsol.

Structure (POSCAR):
```
Ta2HgSe
1.0
3.082 0.000 0.000
0.000 3.082 0.000
0.000 0.000 7.265
Ta Hg Se
2 1 1
direct
0.000 0.000 0.220
0.000 0.000 0.780
0.500 0.500 0.500
0.500 0.500 0.000
```

Computed properties:
The value obtained for the formation energy without anion corrections is -14 kJ/mol of formula units. The energy above the most stable polymorph in this dataset comes out at 0.0 meV per atom. The total energy is -7.415 eV per atom. The calculated density is 15.43 g cm⁻³. The calculation puts the total moment at 0.000 μB/cell.

=====

Record 4
Crystalline ZrScCd2 at its relaxed geometry. Source: Alexandria via LeMat-Bulk, functional GGA-PBEsol.

Structure (POSCAR):
```
ZrScCd2
1.0
-1.681 2.479 5.063
1.681 -2.479 5.063
1.681 2.479 -5.063
Zr Sc Cd
1 1 2
direct
0.000 0.000 0.000
0.743 0.243 0.500
0.257 0.757 0.500
0.483 0.483 0.000
```

Computed properties:
For the calculated formation energy, the calculation gives -135 meV per atom. The energy above the most stable polymorph in this dataset comes out at 79.5 meV per atom. The total energy is -4.657 eV per atom. The calculated density is 7.11 g cm⁻³. The calculation puts the total moment at 0.000 μB/cell.

=====

Record 5
Crystalline Al2TlIrW at its relaxed geometry. Source: Alexandria via LeMat-Bulk, functional GGA-PBEsol.

Structure (POSCAR):
```
Al2TlIrW
1.0
4.965 0.000 0.000
0.000 4.965 0.000
0.000 0.000 4.703
Al Tl Ir W
2 1 1 1
direct
0.000 0.500 0.000
0.500 0.000 0.000
0.000 0.000 0.500
0.500 0.500 0.500
0.500 0.500 0.000
```

Computed properties:
For the calculated formation energy, the calculation gives 956 meV per atom. The total energy is -5.933 eV per atom. The calculated density is 9.09 g cm⁻³. The calculation puts the total moment at 0.000 μB/cell.

=====

Record 6
Crystalline HfGeIN2 at its relaxed geometry. Source: Alexandria via LeMat-Bulk, functional GGA-PBEsol.

Structure (POSCAR):
```
HfGeIN2
1.0
3.981 0.000 0.000
0.000 3.981 0.000
0.000 0.000 5.105
Hf Ge I N
1 1 1 2
direct
0.000 0.000 0.000
0.500 0.500 0.500
0.500 0.500 0.000
0.000 0.500 0.500
0.500 0.000 0.500
```

Computed properties:
The value obtained for the formation energy without anion corrections is 578 kJ/mol of formula units. The total energy is -5.654 eV per atom. The calculated density is 8.33 g cm⁻³. The calculation puts the total moment at 0.000 μB/cell.